Entry 1:
Material: Sc2ZnB
Method: DFT, PBE
State: optimized geometry

Unit cell a=3.5465 b=3.5465 c=25.0606 alpha=90.00 beta=90.00 gamma=120.00
Space group R-3m (No. 166, hexagonal axes)
Asymmetric unit:
Sc (0.0000, 0.0000, 0.1192)
Zn (0.0000, 0.0000, 0.0000)
B (0.0000, 0.0000, 0.5000)

---

Entry 2:
Material: ScZnB
Method: DFT, PBE
State: optimized geometry

Summary:
The energy above the most stable polymorph in this dataset is 0.68 eV/f.u.

Unit cell a=3.113 b=4.633 c=7.123 alpha=87.14 beta=77.45 gamma=70.39
Space group P1 (No. 1)
Asymmetric unit:
Sc (0.000, 0.000, 0.000)
Sc (0.424, 0.497, 0.654)
Zn (0.163, 0.370, 0.302)
Zn (0.814, 0.931, 0.441)
B (0.288, 0.432, 0.992)
B (0.762, 0.542, 0.934)

---

Entry 3:
Material: ScZnB
Method: DFT, PBE
State: optimized geometry

Summary:
The energy above the most stable polymorph in this dataset is 0.01 eV/f.u.

Unit cell a=3.180 b=3.827 c=13.553 alpha=90.00 beta=90.00 gamma=90.00
Space group Imma (No. 74)
Asymmetric unit:
Sc (0.000, 0.250, 0.155)
Zn (0.000, 0.250, 0.553)
B (0.000, 0.250, 0.720)

---

Entry 4:
Material: ScZnB
Method: DFT, PBE
State: optimized geometry

Summary:
The energy above the most stable polymorph in this dataset is 1.43 eV/f.u.

Unit cell a=3.858 b=3.858 c=5.852 alpha=90.00 beta=90.00 gamma=90.00
Space group P4/nmm (No. 129, origin choice 2)
Asymmetric unit:
Sc (0.250, 0.250, 0.216)
Zn (0.250, 0.250, 0.706)
B (0.250, 0.750, 0.500)

---

What calculated formation energy values result from the calculations? In sequence: 106 -238 -462 11 meV/atom.